[1]
Density functional theory data (GGA-PBE) for an optimized crystal structure of Ba3In8Pd3.

Values from the calculation:
offset from the most stable computed form = 1.22 kJ/mol of atoms
formation energy from the elements = -468 meV per atom

Structure (POSCAR):
```
Ba3In8Pd3
1.0
4.925 0.000 1.299
1.570 8.248 4.033
0.171 0.132 9.337
Pd In Ba
3 8 3
Cartesian
0.870 4.190 6.685 Pd
2.361 2.761 11.017 Pd
4.304 5.619 3.651 Pd
1.012 1.435 6.149 In
5.040 3.750 10.847 In
1.626 4.630 3.822 In
4.861 8.091 11.524 In
1.804 0.289 3.145 In
5.654 6.945 8.520 In
3.073 2.907 8.319 In
3.592 5.473 6.350 In
2.654 6.043 9.908 Ba
4.012 2.337 4.760 Ba
0.000 0.000 0.000 Ba
```

***

[2]
Density functional theory data (GGA-PBE) for an optimized crystal structure of Ba12InPd6.

Values from the calculation:
formation energy from the elements = -399 meV per atom

Structure (POSCAR):
```
Ba12InPd6
1.0
-4.432 -8.790 -1.861
4.158 3.493 -8.419
7.096 -1.246 6.962
Ba Pd In
12 6 1
Cartesian
4.981 -3.296 4.032 Ba
3.976 -1.112 0.467 Ba
8.240 -0.261 -0.085 Ba
2.847 -5.431 -3.786 Ba
1.945 -1.240 -3.456 Ba
4.878 -5.303 0.137 Ba
0.778 -4.072 -0.270 Ba
-1.417 -6.282 -3.234 Ba
1.841 -3.247 -7.351 Ba
5.035 1.332 -4.981 Ba
1.788 -7.875 1.662 Ba
6.044 -2.471 -3.049 Ba
4.144 -1.794 -5.695 Pd
1.228 -7.033 -1.361 Pd
5.594 0.490 -1.959 Pd
6.641 -2.694 1.211 Pd
0.182 -3.849 -4.530 Pd
2.678 -4.749 2.376 Pd
0.000 0.000 0.000 In
```

***

[3]
Density functional theory data (GGA-PBE) for an optimized crystal structure of BaIn8Pd4.

Values from the calculation:
formation energy from the elements = -418 meV per atom

Structure (POSCAR):
```
BaIn8Pd4
1.0
-2.169 -4.137 -3.516
2.340 -6.944 1.867
-6.582 -2.783 2.474
Pd In Ba
4 8 1
Cartesian
-3.291 -1.392 1.237 Pd
0.086 -5.541 -0.824 Pd
1.170 -3.472 0.933 Pd
-4.375 -3.460 -0.521 Pd
-3.529 -7.805 1.640 In
-3.514 -4.214 2.266 In
-1.548 -3.318 -0.001 In
-0.728 -5.514 2.076 In
-0.739 -8.083 0.245 In
-5.672 -5.782 0.581 In
-4.863 -10.546 0.827 In
-2.882 -6.059 -0.814 In
0.000 0.000 0.000 Ba
```

***

no.,volume (Å³ per atom)
1,26.792
2,40.744
3,21.875